Density functional theory data (PBE) for a relaxed structure of Dy4AuI5.

DOS(E_F) = 2.9 states/eV/cell
Total moment = 0.000 μB/atom
ΔE_f (raw) = -1097.1 meV per atom

a = 4.193 Å, b = 8.960 Å, c = 9.894 Å
α = 102.17°, β = 102.23°, γ = 90.00°
Sites, in units of the cell vectors:
Dy1 0.999 0.786 0.998
Dy2 0.648 0.076 0.295
Dy3 0.001 0.214 0.002
Dy4 0.352 0.924 0.705
I1 0.832 0.660 0.663
I2 0.824 0.169 0.648
I3 0.176 0.831 0.352
I4 0.500 0.500 0.000
I5 0.168 0.340 0.337
Au1 0.500 0.000 0.000